PmHo2TmTl2: optimized geometry, PBE.

The value obtained for the total energy is -4.12 eV/atom. The value obtained for the density of states at the Fermi level is 0.99 states/eV per atom.

It has space group Pmc2_1 (No. 26), with a = 5.1009 Å, b = 9.9651 Å, c = 6.8437 Å, α = 90.00°, β = 90.00° and γ = 90.00°. Symmetry generates all atoms from Pm at (0.0000, 0.0440, 0.0000), Ho at (0.0000, 0.3171, 0.3802), Ho at (0.5000, 0.4544, 0.0931), Tm at (0.5000, 0.1925, 0.7180), Tl at (0.0000, 0.3664, 0.8386) and Tl at (0.5000, 0.1347, 0.2630).

***

Pm2HoTmTl2: optimized geometry, PBE.

The value obtained for the total energy is -4.15 eV/atom. The value obtained for the density of states at the Fermi level is 1.03 states/eV per atom.

It has space group Pmc2_1 (No. 26), with a = 5.1188 Å, b = 10.1242 Å, c = 6.8433 Å, α = 90.00°, β = 90.00° and γ = 90.00°. Symmetry generates all atoms from Pm at (0.0000, 0.0425, 0.0000), Pm at (0.5000, 0.1877, 0.2735), Ho at (0.5000, 0.4590, 0.9057), Tm at (0.0000, 0.3157, 0.6234), Tl at (0.0000, 0.3750, 0.1624) and Tl at (0.5000, 0.1448, 0.7434).

***

Pm6Ho3Tm2Tl: optimized geometry, PBE.

The value obtained for the total energy is -4.47 eV/atom. The value obtained for the density of states at the Fermi level is 1.17 states/eV per atom.

It has space group C2/m (No. 12), with a = 6.1721 Å, b = 10.7143 Å, c = 11.7199 Å, α = 90.00°, β = 100.24° and γ = 90.00°. Symmetry generates all atoms from Pm at (0.2465, 0.0000, 0.2508), Pm at (0.2467, 0.1646, 0.7475), Ho at (0.0000, 0.1676, 0.0000), Ho at (0.0000, 0.5000, 0.0000), Tm at (0.0000, 0.3339, 0.5000) and Tl at (0.0000, 0.0000, 0.5000).

***

Pm2HoTmTl4: optimized geometry, PBE.

The value obtained for the total energy is -3.85 eV/atom. The value obtained for the density of states at the Fermi level is 0.77 states/eV per atom.

It has space group R-3m (No. 166, hexagonal axes), with a = 5.4064 Å, b = 5.4064 Å, c = 26.5567 Å, α = 90.00°, β = 90.00° and γ = 120.00°. Symmetry generates all atoms from Pm at (0.0000, 0.0000, 0.2503), Ho at (0.0000, 0.0000, 0.5000), Tm at (0.0000, 0.0000, 0.0000), Tl at (0.0000, 0.0000, 0.1248) and Tl at (0.0000, 0.0000, 0.3747).

***

PmYHo2Tl2: optimized geometry, PBE.

The value obtained for the total energy is -4.46 eV/atom. The value obtained for the density of states at the Fermi level is 1.02 states/eV per atom.

It has space group Pmc2_1 (No. 26), with a = 5.1364 Å, b = 10.0379 Å, c = 6.8041 Å, α = 90.00°, β = 90.00° and γ = 90.00°. Symmetry generates all atoms from Pm at (0.0000, 0.0412, 0.0000), Y at (0.5000, 0.1909, 0.7224), Ho at (0.0000, 0.3172, 0.3735), Ho at (0.5000, 0.4571, 0.0906), Tl at (0.0000, 0.3676, 0.8376) and Tl at (0.5000, 0.1384, 0.2588).

***

Pm2YHoTl2: optimized geometry, PBE.

The value obtained for the total energy is -4.49 eV/atom. The value obtained for the density of states at the Fermi level is 1.09 states/eV per atom.

It has space group Pmc2_1 (No. 26), with a = 5.1414 Å, b = 10.1496 Å, c = 6.8777 Å, α = 90.00°, β = 90.00° and γ = 90.00°. Symmetry generates all atoms from Pm at (0.0000, 0.0433, 0.0000), Pm at (0.5000, 0.1871, 0.2723), Y at (0.5000, 0.4578, 0.9032), Ho at (0.0000, 0.3148, 0.6213), Tl at (0.0000, 0.3739, 0.1603) and Tl at (0.5000, 0.1426, 0.7420).

***

Pm2HoTl2Zn2: optimized geometry, PBE.

The value obtained for the total energy is -3.22 eV/atom. The value obtained for the density of states at the Fermi level is 0.46 states/eV per atom.

It has space group R-3m (No. 166, hexagonal axes), with a = 4.7514 Å, b = 4.7514 Å, c = 28.1849 Å, α = 90.00°, β = 90.00° and γ = 120.00°. Symmetry generates all atoms from Pm at (0.0000, 0.0000, 0.1256), Ho at (0.0000, 0.0000, 0.0000), Tl at (0.0000, 0.0000, 0.2655) and Zn at (0.0000, 0.0000, 0.3885).

***

PmHo2Tl2Zn2: optimized geometry, PBE.

The value obtained for the total energy is -3.19 eV/atom. The value obtained for the density of states at the Fermi level is 0.53 states/eV per atom.

It has space group R-3m (No. 166, hexagonal axes), with a = 4.7784 Å, b = 4.7784 Å, c = 27.0523 Å, α = 90.00°, β = 90.00° and γ = 120.00°. Symmetry generates all atoms from Pm at (0.0000, 0.0000, 0.0000), Ho at (0.0000, 0.0000, 0.1305), Tl at (0.0000, 0.0000, 0.2647) and Zn at (0.0000, 0.0000, 0.4224).

***

PmHo5Tm: optimized geometry, PBE.

Its excess energy over the best structure of this formula in the dataset is 0.8680 eV per atom. The value obtained for the density of states at the Fermi level is 1.08 states/eV per atom.

It has space group Imm2 (No. 44), with a = 7.9891 Å, b = 11.6132 Å, c = 6.1200 Å, α = 90.00°, β = 90.00° and γ = 90.00°. Symmetry generates all atoms from Pm at (0.0000, 0.0000, 0.0000), Ho at (0.0000, 0.2560, 0.9979), Ho at (0.0000, 0.5000, 0.2612), Ho at (0.1800, 0.0000, 0.4991) and Tm at (0.0000, 0.5000, 0.7403).

***

PmHo6Tm12: optimized geometry, PBE.

Its excess energy over the best structure of this formula in the dataset is 0.0000 eV per atom. The value obtained for the density of states at the Fermi level is 1.58 states/eV per atom.

It has space group R-3 (No. 148, hexagonal axes), with a = 11.7389 Å, b = 11.7389 Å, c = 15.0397 Å, α = 90.00°, β = 90.00° and γ = 120.00°. Symmetry generates all atoms from Pm at (0.0000, 0.0000, 0.0000), Ho at (0.0074, 0.4210, 0.6757), Tm at (0.0245, 0.8392, 0.1921) and Tm at (0.0385, 0.8520, 0.4155).

***

Pm2Ho4Tm: optimized geometry, PBE.

Its excess energy over the best structure of this formula in the dataset is 0.0000 eV per atom. The value obtained for the density of states at the Fermi level is 1.67 states/eV per atom.

It has space group P2_1/m (No. 11), with a = 6.0884 Å, b = 6.5884 Å, c = 11.5286 Å, α = 90.00°, β = 104.08° and γ = 90.00°. Symmetry generates all atoms from Pm at (0.1029, 0.2500, 0.4956), Pm at (0.2089, 0.2500, 0.0687), Ho at (0.1474, 0.0046, 0.7881), Ho at (0.3536, 0.7500, 0.0593), Ho at (0.4833, 0.7500, 0.6479) and Tm at (0.3497, 0.7500, 0.3452).

***

Pm7HoTm12: optimized geometry, PBE.

Its excess energy over the best structure of this formula in the dataset is 0.0000 eV per atom. The value obtained for the density of states at the Fermi level is 1.78 states/eV per atom.

It has space group R-3 (No. 148, hexagonal axes), with a = 11.8705 Å, b = 11.8705 Å, c = 16.1410 Å, α = 90.00°, β = 90.00° and γ = 120.00°. Symmetry generates all atoms from Pm at (0.0000, 0.0000, 0.0000), Pm at (0.0543, 0.1884, 0.2900), Ho at (0.0000, 0.0000, 0.5000), Tm at (0.0240, 0.4486, 0.2205) and Tm at (0.0515, 0.5861, 0.5834).

***

Number 4 is which compound?
Pm2HoTmTl4